one) A relaxed Ho2Lu2O5 crystal, computed with PBE.

Calculated values
Its space group is P4/mmm.

Unit cell a=9.216 b=3.858 c=3.858 alpha=90.00 beta=90.00 gamma=90.00
Last column: magnetic moment on the atom in μB.
Atoms (fractional coordinates):
Lu (0.000, 0.000, 0.000)  0.01
Lu (0.500, 0.000, 0.000)  0.46
O (0.500, 0.500, 0.500)  0.04
O (0.857, 0.500, 0.000)  0.01
O (0.857, 0.000, 0.500)  0.02
O (0.143, 0.500, 0.000)  0.01
O (0.143, 0.000, 0.500)  0.02
Ho (0.242, 0.500, 0.500)  0.06
Ho (0.758, 0.500, 0.500)  0.06

***

two) A relaxed Ho2Lu2O5 crystal, computed with PBE.

Calculated values
Its space group is P4/mmm.

Unit cell a=8.962 b=3.870 c=3.870 alpha=90.00 beta=90.00 gamma=90.00
Last column: magnetic moment on the atom in μB.
Atoms (fractional coordinates):
O (0.849, 0.000, 0.500)  0.03
O (0.849, 0.500, 0.000)  0.02
O (0.151, 0.000, 0.500)  0.03
O (0.500, 0.500, 0.500)  0.03
O (0.151, 0.500, 0.000)  0.02
Ho (0.000, 0.000, 0.000)  0.02
Ho (0.500, 0.000, 0.000)  0.65
Lu (0.245, 0.500, 0.500)  0.06
Lu (0.755, 0.500, 0.500)  0.06

***

Verdict on stability: one) comes out at the bottom.

***

one) A relaxed HoLuPO crystal, computed with PBE.

Calculated values
Its space group is P4/nmm.

Unit cell a=4.249 b=4.249 c=8.434 alpha=90.00 beta=90.00 gamma=90.00
Atoms (fractional coordinates):
O (0.500, 0.500, 0.000)
O (0.000, 0.000, 0.000)
Lu (0.500, 0.500, 0.500)
Lu (0.000, 0.000, 0.500)
P (0.000, 0.500, 0.692)
P (0.500, 0.000, 0.308)
Ho (0.500, 0.000, 0.895)
Ho (0.000, 0.500, 0.105)

***

two) A relaxed HoLuPO crystal, computed with PBE.

Calculated values
Its space group is P4/nmm.

Unit cell a=4.265 b=4.265 c=8.344 alpha=90.00 beta=90.00 gamma=90.00
Atoms (fractional coordinates):
P (0.250, 0.250, 0.702)
P (0.750, 0.750, 0.298)
Lu (0.250, 0.250, 0.095)
Lu (0.750, 0.750, 0.905)
Ho (0.750, 0.250, 0.500)
Ho (0.250, 0.750, 0.500)
O (0.750, 0.250, 0.000)
O (0.250, 0.750, 0.000)

***

Verdict on stability: two) comes out at the bottom.

***

one) A relaxed Ho3Lu3Sb2Os crystal, computed with PBE.

Calculated values
Its space group is P-62m.

Unit cell a=8.104 b=8.104 c=4.173 alpha=90.00 beta=90.00 gamma=120.00
Atoms (fractional coordinates):
Lu (0.000, 0.612, 0.000)
Lu (0.388, 0.388, 0.000)
Lu (0.612, 0.000, 0.000)
Ho (0.240, 0.000, 0.500)
Ho (0.000, 0.240, 0.500)
Ho (0.760, 0.760, 0.500)
Sb (0.667, 0.333, 0.500)
Sb (0.333, 0.667, 0.500)
Os (0.000, 0.000, 0.000)

***

two) A relaxed Ho3Lu3Sb2Os crystal, computed with PBE.

Calculated values
Its space group is P-62m.

Unit cell a=8.062 b=8.062 c=4.193 alpha=90.00 beta=90.00 gamma=120.00
Atoms (fractional coordinates):
Sb (0.333, 0.667, 0.500)
Sb (0.667, 0.333, 0.500)
Lu (0.766, 0.766, 0.500)
Lu (0.234, 0.000, 0.500)
Lu (0.000, 0.234, 0.500)
Ho (0.000, 0.608, 0.000)
Ho (0.608, 0.000, 0.000)
Ho (0.392, 0.392, 0.000)
Os (0.000, 0.000, 0.000)

***

Verdict on stability: one) comes out at the bottom.

***

one) A relaxed Ho3Lu3Te2Os crystal, computed with PBE.

Calculated values
Its space group is P-62m.

Unit cell a=8.162 b=8.162 c=4.041 alpha=90.00 beta=90.00 gamma=120.00
Atoms (fractional coordinates):
Ho (0.000, 0.612, 0.000)
Ho (0.612, 0.000, 0.000)
Ho (0.388, 0.388, 0.000)
Lu (0.000, 0.236, 0.500)
Lu (0.236, 0.000, 0.500)
Lu (0.764, 0.764, 0.500)
Te (0.667, 0.333, 0.500)
Te (0.333, 0.667, 0.500)
Os (0.000, 0.000, 0.000)

***

two) A relaxed Ho3Lu3Te2Os crystal, computed with PBE.

Calculated values
Its space group is P-62m.

Unit cell a=8.206 b=8.206 c=4.016 alpha=90.00 beta=90.00 gamma=120.00
Atoms (fractional coordinates):
Os (0.000, 0.000, 0.000)
Lu (0.383, 0.383, 0.000)
Lu (0.617, 0.000, 0.000)
Lu (0.000, 0.617, 0.000)
Ho (0.000, 0.243, 0.500)
Ho (0.757, 0.757, 0.500)
Ho (0.243, 0.000, 0.500)
Te (0.667, 0.333, 0.500)
Te (0.333, 0.667, 0.500)

***

Verdict on stability: two) comes out at the bottom.

***

one) A relaxed Ho3Lu3Te2Pt crystal, computed with PBE.

Calculated values
Its space group is P-62m.

Unit cell a=8.350 b=8.350 c=3.886 alpha=90.00 beta=90.00 gamma=120.00
Atoms (fractional coordinates):
Pt (0.000, 0.000, 0.000)
Te (0.667, 0.333, 0.500)
Te (0.333, 0.667, 0.500)
Ho (0.752, 0.752, 0.500)
Ho (0.248, 0.000, 0.500)
Ho (0.000, 0.248, 0.500)
Lu (0.603, 0.000, 0.000)
Lu (0.000, 0.603, 0.000)
Lu (0.397, 0.397, 0.000)

***

two) A relaxed Ho3Lu3Te2Pt crystal, computed with PBE.

Calculated values
Its space group is P-62m.

Unit cell a=8.275 b=8.275 c=3.942 alpha=90.00 beta=90.00 gamma=120.00
Atoms (fractional coordinates):
Ho (0.601, 0.000, 0.000)
Ho (0.000, 0.601, 0.000)
Ho (0.399, 0.399, 0.000)
Lu (0.000, 0.242, 0.500)
Lu (0.758, 0.758, 0.500)
Lu (0.242, 0.000, 0.500)
Te (0.667, 0.333, 0.500)
Te (0.333, 0.667, 0.500)
Pt (0.000, 0.000, 0.000)

***

Verdict on stability: one) comes out at the bottom.

***

one) A relaxed Ho3Mg4 crystal, computed with PBE.

Calculated values
Its space group is P6_3/m.

Unit cell a=9.031 b=9.031 c=5.304 alpha=90.00 beta=90.00 gamma=60.00
Atoms (fractional coordinates):
Mg (0.576, 0.143, 0.000)
Mg (0.095, 0.524, 0.500)
Mg (0.948, 0.238, 0.500)
Mg (0.809, 0.957, 0.500)
Mg (0.714, 0.424, 0.000)
Mg (0.528, 0.377, 0.500)
Mg (0.996, 0.004, 0.000)
Mg (0.429, 0.857, 0.000)
Ho (0.295, 0.559, 0.000)
Ho (0.663, 0.658, 0.500)
Ho (0.393, 0.092, 0.500)
Ho (0.229, 0.822, 0.500)
Ho (0.130, 0.289, 0.000)
Ho (0.861, 0.723, 0.000)

***

two) A relaxed Ho3Mg4 crystal, computed with PBE.

Calculated values
Its space group is P6_3/m.

Unit cell a=8.952 b=8.952 c=5.389 alpha=90.00 beta=90.00 gamma=60.00
Atoms (fractional coordinates):
Mg (0.862, 0.720, 0.000)
Mg (0.962, 0.234, 0.500)
Mg (0.810, 0.952, 0.500)
Mg (0.375, 0.105, 0.500)
Mg (0.990, 0.004, 0.000)
Mg (0.091, 0.518, 0.500)
Mg (0.577, 0.133, 0.000)
Mg (0.143, 0.286, 0.000)
Ho (0.728, 0.432, 0.000)
Ho (0.289, 0.554, 0.000)
Ho (0.411, 0.871, 0.000)
Ho (0.663, 0.684, 0.500)
Ho (0.541, 0.367, 0.500)
Ho (0.224, 0.806, 0.500)

***

Verdict on stability: one) comes out at the bottom.

***

one) A relaxed NaHoMgS3 crystal, computed with PBE.

Calculated values
Its space group is Pnma.

Unit cell a=14.139 b=3.987 c=11.063 alpha=90.00 beta=90.00 gamma=90.00
Atoms (fractional coordinates):
Ho (0.962, 0.750, 0.856)
Ho (0.462, 0.750, 0.644)
Ho (0.538, 0.250, 0.356)
Ho (0.038, 0.250, 0.144)
S (0.941, 0.250, 0.375)
S (0.650, 0.750, 0.263)
S (0.441, 0.250, 0.125)
S (0.588, 0.250, 0.588)
S (0.559, 0.750, 0.875)
S (0.412, 0.750, 0.412)
S (0.088, 0.250, 0.912)
S (0.850, 0.250, 0.763)
S (0.350, 0.250, 0.737)
S (0.150, 0.750, 0.237)
S (0.912, 0.750, 0.088)
S (0.059, 0.750, 0.625)
Mg (0.461, 0.250, 0.903)
Mg (0.539, 0.750, 0.097)
Mg (0.039, 0.750, 0.403)
Mg (0.961, 0.250, 0.597)
Na (0.789, 0.250, 0.205)
Na (0.211, 0.750, 0.795)
Na (0.289, 0.250, 0.295)
Na (0.711, 0.750, 0.705)

***

two) A relaxed NaHoMgS3 crystal, computed with PBE.

Calculated values
Its space group is P2_1/m.

Unit cell a=7.890 b=4.026 c=10.458 alpha=90.00 beta=107.01 gamma=90.00
Atoms (fractional coordinates):
Mg (0.558, 0.250, 0.113)
Mg (0.442, 0.750, 0.887)
S (0.934, 0.750, 0.630)
S (0.417, 0.750, 0.650)
S (0.583, 0.250, 0.350)
S (0.286, 0.250, 0.923)
S (0.066, 0.250, 0.370)
S (0.714, 0.750, 0.077)
Ho (0.170, 0.250, 0.642)
Ho (0.830, 0.750, 0.358)
Na (0.679, 0.250, 0.642)
Na (0.321, 0.750, 0.358)

***

Verdict on stability: two) comes out at the bottom.

***

one) A relaxed HoMgNb crystal, computed with PBE.

Calculated values
Its space group is F-43m.

Unit cell a=4.960 b=4.960 c=4.960 alpha=60.00 beta=60.00 gamma=60.00
Atoms (fractional coordinates):
Ho (0.000, 0.000, 0.000)
Nb (0.750, 0.750, 0.750)
Mg (0.250, 0.250, 0.250)

***

two) A relaxed HoMgNb crystal, computed with PBE.

Calculated values
Its space group is F-43m.

Unit cell a=4.789 b=4.789 c=4.789 alpha=60.00 beta=60.00 gamma=60.00
Atoms (fractional coordinates):
Ho (0.250, 0.250, 0.250)
Mg (0.000, 0.000, 0.000)
Nb (0.750, 0.750, 0.750)

***

Verdict on stability: one) comes out at the bottom.

***

one) A relaxed HoMgSc crystal, computed with PBE.

Calculated values
Its space group is F-43m.

Unit cell a=5.031 b=5.031 c=5.031 alpha=60.00 beta=60.00 gamma=60.00
Atoms (fractional coordinates):
Sc (0.750, 0.750, 0.750)
Mg (0.000, 0.000, 0.000)
Ho (0.250, 0.250, 0.250)

***

two) A relaxed HoMgSc crystal, computed with PBE.

Calculated values
Its space group is F-43m.

Unit cell a=5.078 b=5.078 c=5.078 alpha=60.00 beta=60.00 gamma=60.00
Atoms (fractional coordinates):
Mg (0.250, 0.250, 0.250)
Ho (0.000, 0.000, 0.000)
Sc (0.750, 0.750, 0.750)

***

Verdict on stability: two) comes out at the bottom.

***

one) A relaxed YHoMg crystal, computed with PBE.

Calculated values
Its space group is Cmcm.

Unit cell a=8.777 b=8.777 c=5.441 alpha=90.00 beta=90.00 gamma=155.82
Atoms (fractional coordinates):
Mg (0.934, 0.066, 0.250)
Mg (0.066, 0.934, 0.750)
Ho (0.727, 0.273, 0.750)
Ho (0.273, 0.727, 0.250)
Y (0.408, 0.592, 0.750)
Y (0.592, 0.408, 0.250)

***

two) A relaxed YHoMg crystal, computed with PBE.

Calculated values
Its space group is F-43m.

Unit cell a=5.221 b=5.221 c=5.221 alpha=60.00 beta=60.00 gamma=60.00
Atoms (fractional coordinates):
Mg (0.000, 0.000, 0.000)
Y (0.750, 0.750, 0.750)
Ho (0.250, 0.250, 0.250)

***

Verdict on stability: two) comes out at the bottom.

***

one) A relaxed HoNiMo crystal, computed with PBE.

Calculated values
Its space group is F-43m.

Unit cell a=4.357 b=4.357 c=4.357 alpha=60.00 beta=60.00 gamma=60.00
Atoms (fractional coordinates):
Ho (0.250, 0.250, 0.250)
Ni (0.000, 0.000, 0.000)
Mo (0.750, 0.750, 0.750)

***

two) A relaxed HoNiMo crystal, computed with PBE.

Calculated values
Its space group is F-43m.

Unit cell a=4.476 b=4.476 c=4.476 alpha=60.00 beta=60.00 gamma=60.00
Atoms (fractional coordinates):
Mo (0.750, 0.750, 0.750)
Ni (0.250, 0.250, 0.250)
Ho (0.000, 0.000, 0.000)

***

Verdict on stability: two) comes out at the bottom.

***

one) A relaxed HoMoPb crystal, computed with PBE.

Calculated values
Its space group is F-43m.

Unit cell a=4.976 b=4.976 c=4.976 alpha=60.00 beta=60.00 gamma=60.00
Last column: magnetic moment on the atom in μB.
Atoms (fractional coordinates):
Pb (0.750, 0.750, 0.750)  -0.05
Mo (0.250, 0.250, 0.250)  2.71
Ho (0.000, 0.000, 0.000)  0.29

***

two) A relaxed HoMoPb crystal, computed with PBE.

Calculated values
Its space group is F-43m.

Unit cell a=4.793 b=4.793 c=4.793 alpha=60.00 beta=60.00 gamma=60.00
Last column: magnetic moment on the atom in μB.
Atoms (fractional coordinates):
Pb (0.000, 0.000, 0.000)  0.01
Ho (0.250, 0.250, 0.250)  0.04
Mo (0.750, 0.750, 0.750)  -0.37

***

Verdict on stability: one) comes out at the bottom.